# 1
Below is an optimized crystal structure of Sr2NiH2, with properties calculated at the PBE level.

The space group is I4/mmm (No. 139) and the conventional cell measures 3.869, 3.869 and 13.319 Å, with angles of 90.00, 90.00 and 90.00 degrees. Symmetry generates all atoms from Sr at (0.000, 0.000, 0.140), Ni at (0.000, 0.000, 0.500) and H at (0.000, 0.500, 0.250).

As for the volume: 99.7 Å³/f.u. For the energy relative to the lowest polymorph listed for this composition, the calculation gives 51 kJ/mol of formula units. As for the density of states at the Fermi level: 2.3 states/eV per cell.

=====

# 2
Below is an optimized crystal structure of Mn5C3, with properties calculated at the PBE level.

The space group is P6_3/mcm (No. 193) and the conventional cell measures 5.7129, 5.7129 and 4.8014 Å, with angles of 90.00, 90.00 and 120.00 degrees. Symmetry generates all atoms from Mn at (0.0000, 0.2443, 0.2500), Mn at (0.3333, 0.6667, 0.0000) and C at (0.0000, 0.3981, 0.7500).

Its energy relative to the elements is 0.167 eV/atom. As for the volume: 67.9 Å³/f.u. For the energy relative to the lowest polymorph listed for this composition, the calculation gives 0 kJ/mol of formula units. As for the density of states at the Fermi level: 13.5 states/eV per cell.

=====

# 3
Below is an optimized crystal structure of Rb2Cd4Sn3Ge, with properties calculated at the PBE level.

The space group is P-4m2 (No. 115) and the conventional cell measures 4.893, 4.893 and 12.485 Å, with angles of 90.00, 90.00 and 90.00 degrees. Symmetry generates all atoms from Rb at (0.000, 0.500, 0.247), Cd at (0.000, 0.000, 0.500), Cd at (0.000, 0.500, 0.868), Cd at (0.500, 0.500, 0.500), Sn at (0.000, 0.000, 0.000), Sn at (0.000, 0.500, 0.636) and Ge at (0.500, 0.500, 0.000).

Its energy relative to the elements is -0.093 eV/atom. As for the volume: 298.9 Å³/f.u. As for the density of states at the Fermi level: 4.7 states/eV per cell.

=====

- The lowest volume belongs to which entry?
  Mn5C3